Entry 1:
Entry from the Alexandria database: Lu2TiGa after structural relaxation (PBE).

```
Lu2TiGa
1.0
4.2729 0.0000 0.0000
0.0000 4.5398 0.0000
0.0000 0.0000 4.5398
Lu Ti Ga
2 1 1
Direct
0.0000 0.0000 0.5000
0.0000 0.5000 0.0000
0.5000 0.0000 0.0000
0.5000 0.5000 0.5000
```

Calculated values
Density of states at the Fermi level (states/eV per atom): 1.015
Energy of formation from the pure elements (meV/atom): -160
Excess energy over the best structure of this formula in the dataset (meV/atom): 35

Entry 2:
Entry from the Alexandria database: LuTiGa2 after structural relaxation (PBE).

```
LuTiGa2
1.0
-0.8890 -2.9783 1.2552
0.6165 -2.8013 -1.7345
7.2823 -2.5788 3.5145
Ga Lu Ti
2 1 1
Direct
0.7432 0.7432 0.7704
0.2568 0.2568 0.2296
0.5000 0.5000 0.5000
0.0000 0.0000 0.0000
```

Calculated values
Density of states at the Fermi level (states/eV per atom): 0.801
Energy of formation from the pure elements (meV/atom): -256
Excess energy over the best structure of this formula in the dataset (meV/atom): 163

Entry 3:
Entry from the Alexandria database: LuTiGa2 after structural relaxation (PBE).

```
LuTiGa2
1.0
-0.9453 2.1534 -2.5013
-2.9219 -1.7561 -0.4075
-2.8317 3.7200 4.2728
Ga Ti Lu
2 1 1
Direct
0.0000 0.0000 0.2162
0.0000 0.0000 0.7838
0.5000 0.5000 0.0000
0.5000 0.5000 0.5000
```

Calculated values
Density of states at the Fermi level (states/eV per atom): 0.548
Energy of formation from the pure elements (meV/atom): -419
Excess energy over the best structure of this formula in the dataset (meV/atom): 0

Entry 4:
Entry from the Alexandria database: LuTi2Ga4 after structural relaxation (PBE).

```
LuTi2Ga4
1.0
5.4645 -0.0031 -0.0031
2.7309 4.7348 0.0099
2.7309 -0.0054 4.7348
Ga Ti Lu
4 2 1
Direct
0.3026 0.9999 0.3956
0.6974 0.6044 0.0001
0.3026 0.3956 0.9999
0.6974 0.0001 0.6044
0.2494 0.5003 0.5003
0.7506 0.4997 0.4997
0.0000 0.0000 0.0000
```

Calculated values
Density of states at the Fermi level (states/eV per atom): 0.750
Energy of formation from the pure elements (meV/atom): -522

Entry 5:
Entry from the Alexandria database: Lu2TiGa after structural relaxation (PBE).

```
Lu2TiGa
1.0
3.3577 0.0000 0.0000
0.0000 3.3577 0.0000
0.0000 0.0000 7.9224
Lu Ga Ti
2 1 1
Direct
0.0000 0.0000 0.2398
0.0000 0.0000 0.7602
0.5000 0.5000 0.0000
0.5000 0.5000 0.5000
```

Calculated values
Density of states at the Fermi level (states/eV per atom): 0.864
Energy of formation from the pure elements (meV/atom): -196
Excess energy over the best structure of this formula in the dataset (meV/atom): 0

Entry 6:
Entry from the Alexandria database: LuTiGa2 after structural relaxation (PBE).

```
LuTiGa2
1.0
4.7295 0.0000 0.0000
2.3647 4.0959 0.0000
2.3647 1.3653 3.8616
Lu Ga Ti
1 2 1
Direct
0.0000 0.0000 0.0000
0.7500 0.7500 0.7500
0.2500 0.2500 0.2500
0.5000 0.5000 0.5000
```

Calculated values
Density of states at the Fermi level (states/eV per atom): 1.043
Energy of formation from the pure elements (meV/atom): -364
Excess energy over the best structure of this formula in the dataset (meV/atom): 55

Entry 7:
Entry from the Alexandria database: LuTiGa2 after structural relaxation (PBE).

```
LuTiGa2
1.0
-2.3573 3.1921 0.7162
-3.3431 -2.0748 -1.7562
-1.0217 -1.6204 3.8595
Ga Lu Ti
2 1 1
Direct
0.0000 0.0000 0.5000
0.0000 0.5000 0.0000
0.5000 0.0000 0.0000
0.5000 0.5000 0.5000
```

Calculated values
Density of states at the Fermi level (states/eV per atom): 0.603
Energy of formation from the pure elements (meV/atom): -385
Excess energy over the best structure of this formula in the dataset (meV/atom): 34

Entry 8:
Entry from the Alexandria database: LuTiZnGa after structural relaxation (PBE).

```
LuTiZnGa
1.0
4.6933 0.0000 0.0000
2.3466 4.0645 0.0000
2.3466 1.3548 3.8320
Ga Ti Zn Lu
1 1 1 1
Direct
0.5000 0.5000 0.5000
0.2500 0.2500 0.2500
0.0000 0.0000 0.0000
0.7500 0.7500 0.7500
```

Calculated values
Density of states at the Fermi level (states/eV per atom): 0.446
Energy of formation from the pure elements (meV/atom): -313

Entry 9:
Entry from the Alexandria database: LuTl2Ga after structural relaxation (PBE).

```
LuTl2Ga
1.0
4.6244 0.0000 0.0000
0.0000 4.5692 0.0000
0.0000 0.0000 4.5692
Tl Ga Lu
2 1 1
Direct
0.0000 0.5000 0.0000
0.0000 0.0000 0.5000
0.5000 0.0000 0.0000
0.5000 0.5000 0.5000
```

Calculated values
Density of states at the Fermi level (states/eV per atom): 0.242
Energy of formation from the pure elements (meV/atom): -198
Excess energy over the best structure of this formula in the dataset (meV/atom): 0

Entry 10:
Entry from the Alexandria database: LuTlGa2 after structural relaxation (PBE).

```
LuTlGa2
1.0
-3.3739 0.1980 -3.5168
-4.3063 -2.2037 0.6248
-4.9474 4.7323 1.6304
Ga Tl Lu
2 1 1
Direct
0.1443 0.1443 0.5672
0.8557 0.8557 0.4328
0.0000 0.0000 0.0000
0.5000 0.5000 0.5000
```

Calculated values
Density of states at the Fermi level (states/eV per atom): 0.426
Energy of formation from the pure elements (meV/atom): 199
Excess energy over the best structure of this formula in the dataset (meV/atom): 510

Entry 11:
Entry from the Alexandria database: LuTlGa2 after structural relaxation (PBE).

```
LuTlGa2
1.0
-0.3368 -0.6955 -4.2241
2.7331 -3.5221 0.3620
-3.5233 -2.6601 0.7189
Ga Tl Lu
2 1 1
Direct
0.0000 0.5000 0.0000
0.0000 0.0000 0.5000
0.5000 0.0000 0.0000
0.5000 0.5000 0.5000
```

Calculated values
Density of states at the Fermi level (states/eV per atom): 0.362
Energy of formation from the pure elements (meV/atom): -312
Excess energy over the best structure of this formula in the dataset (meV/atom): 0

Entry 12:
Entry from the Alexandria database: LuTlGa4 after structural relaxation (PBE).

```
LuTlGa4
1.0
5.6036 0.0000 0.0000
2.8018 4.8529 0.0000
2.8018 1.6176 4.5753
Ga Lu Tl
4 1 1
Direct
0.1231 0.6256 0.6256
0.6256 0.1231 0.6256
0.6256 0.6256 0.6256
0.6256 0.6256 0.1231
0.0000 0.0000 0.0000
0.2500 0.2500 0.2500
```

Calculated values
Density of states at the Fermi level (states/eV per atom): 0.764
Energy of formation from the pure elements (meV/atom): -151

Entry 13:
Entry from the Alexandria database: LuTl2Ga after structural relaxation (PBE).

```
LuTl2Ga
1.0
-0.2379 3.1236 1.4309
-0.5006 0.3059 3.3937
10.6727 1.2408 3.2100
Tl Ga Lu
2 1 1
Direct
0.0927 0.0927 0.7219
0.9073 0.9073 0.2781
0.5000 0.5000 0.5000
0.0000 0.0000 0.0000
```

Calculated values
Density of states at the Fermi level (states/eV per atom): 0.542
Energy of formation from the pure elements (meV/atom): 154
Excess energy over the best structure of this formula in the dataset (meV/atom): 351

Entry 14:
Entry from the Alexandria database: TmLuTlGa after structural relaxation (PBE).

```
TmLuTlGa
1.0
-0.8610 -5.0535 -0.4668
3.6867 -3.3657 1.2556
-0.5080 -2.9236 4.2061
Ga Tl Tm Lu
1 1 1 1
Direct
0.2500 0.2500 0.2500
0.7500 0.7500 0.7500
0.5000 0.5000 0.5000
0.0000 0.0000 0.0000
```

Calculated values
Density of states at the Fermi level (states/eV per atom): 0.444
Energy of formation from the pure elements (meV/atom): -383

Entry 15:
Entry from the Alexandria database: YLuTlGa after structural relaxation (PBE).

```
YLuTlGa
1.0
-0.6087 -3.3784 -3.8833
4.0482 -2.7579 -1.6941
0.2395 -5.0926 0.9340
Lu Y Tl Ga
1 1 1 1
Direct
0.2500 0.2500 0.2500
0.7500 0.7500 0.7500
0.0000 0.0000 0.0000
0.5000 0.5000 0.5000
```

Calculated values
Density of states at the Fermi level (states/eV per atom): 0.449
Energy of formation from the pure elements (meV/atom): -410

Number 1: magnetization 1.9 μB per formula unit. Number 2: magnetization 0.0 μB per formula unit. Number 3: magnetization 0.7 μB per formula unit. Number 4: magnetization 0.0 μB per formula unit. Number 5: magnetization 0.0 μB per formula unit. Number 6: magnetization 1.0 μB per formula unit. Number 7: magnetization 1.3 μB per formula unit. Number 8: magnetization 0.0 μB per formula unit. Number 9: magnetization 0.0 μB per formula unit. Number 10: magnetization 0.0 μB per formula unit. Number 11: magnetization 0.0 μB per formula unit. Number 12: magnetization 0.0 μB per formula unit. Number 13: magnetization 0.0 μB per formula unit. Number 14: magnetization 0.0 μB per formula unit. Number 15: magnetization 0.0 μB per formula unit.